Entry 1:
Density functional theory data (PBE-GGA) for crystalline LiCdFeCl5 at its relaxed geometry.

N(E_F): 0.691 states/eV/atom

Geometry as CIF:
```
data_LiCdFeCl5
_chemical_formula_sum 'Li4 Cd4 Fe4 Cl20'
_cell_length_a 10.157
_cell_length_b 10.158
_cell_length_c 9.862
_cell_angle_alpha 90.00
_cell_angle_beta 119.22
_cell_angle_gamma 90.00
_space_group_name_H-M_alt 'C 1 2/c 1'
_space_group_IT_number 15
loop_
_space_group_symop_operation_xyz
'x,y,z'
'-x,-y,-z'
'-x,y,-z+1/2'
'x,-y,z+1/2'
'x+1/2,y+1/2,z'
'-x+1/2,-y+1/2,-z'
'-x+1/2,y+1/2,-z+1/2'
'x+1/2,-y+1/2,z+1/2'
loop_
_atom_site_label
_atom_site_type_symbol
_atom_site_fract_x
_atom_site_fract_y
_atom_site_fract_z
Li1 Li 0.000 0.186 0.250
Cd1 Cd 0.000 0.500 0.000
Fe1 Fe 0.000 0.132 0.750
Cl1 Cl 0.000 0.417 0.250
Cl2 Cl 0.015 0.242 0.958
Cl3 Cl 0.193 0.022 0.340
```


Entry 2:
Density functional theory data (PBE-GGA) for crystalline CdFe2MoCl at its relaxed geometry.

N(E_F): 1.806 states/eV/atom

Geometry as CIF:
```
data_CdFe2MoCl
_chemical_formula_sum 'Cd1 Fe2 Mo1 Cl1'
_cell_length_a 4.535
_cell_length_b 4.535
_cell_length_c 4.670
_cell_angle_alpha 90.00
_cell_angle_beta 90.00
_cell_angle_gamma 90.00
_space_group_name_H-M_alt 'P 4/m m m'
_space_group_IT_number 123
_space_group_name_Hall '-P 4 2'
loop_
_atom_site_label
_atom_site_type_symbol
_atom_site_fract_x
_atom_site_fract_y
_atom_site_fract_z
Cd1 Cd 0.000 0.000 0.000
Fe1 Fe 0.000 0.500 0.500
Mo1 Mo 0.500 0.500 0.500
Cl1 Cl 0.500 0.500 0.000
```


Entry 3:
Density functional theory data (PBE-GGA) for crystalline CdFeN2Cl at its relaxed geometry.

N(E_F): 1.531 states/eV/atom

Geometry as CIF:
```
data_CdFeN2Cl
_chemical_formula_sum 'Cd1 Fe1 N2 Cl1'
_cell_length_a 4.139
_cell_length_b 4.139
_cell_length_c 5.885
_cell_angle_alpha 90.00
_cell_angle_beta 90.00
_cell_angle_gamma 90.00
_space_group_name_H-M_alt 'P 4/m m m'
_space_group_IT_number 123
_space_group_name_Hall '-P 4 2'
loop_
_atom_site_label
_atom_site_type_symbol
_atom_site_fract_x
_atom_site_fract_y
_atom_site_fract_z
Cd1 Cd 0.000 0.000 0.000
Fe1 Fe 0.000 0.000 0.500
N1 N 0.000 0.500 0.000
Cl1 Cl 0.500 0.500 0.500
```


| no. | E (eV per atom) |
| --- | --- |
| 1 | -3.6385 |
| 2 | -4.9335 |
| 3 | -3.6825 |